ZrBe2Rh | PBE | optimized geometry

Values from the calculation:
ΔE to the lowest computed polymorph   451 meV/atom
DFT formation energy   0.017 eV per atom
M_tot   0.000 Bohr magnetons per cell

```
data_ZrBe2Rh
_symmetry_space_group_name_H-M 'P 1'
_symmetry_Int_Tables_number 1
_cell_length_a 8.022
_cell_length_b 8.022
_cell_length_c 8.022
_cell_angle_alpha 20.75
_cell_angle_beta 20.75
_cell_angle_gamma 20.75
loop_
_symmetry_equiv_pos_as_xyz
'x,y,z'
loop_
_atom_site_label
_atom_site_fract_x
_atom_site_fract_y
_atom_site_fract_z
_atom_site_occupancy
Zr1 0.000 0.000 0.000 1
Be1 0.235 0.235 0.235 1
Be2 0.765 0.765 0.765 1
Rh1 0.500 0.500 0.500 1
```


ZrBeRh2 | PBE | optimized geometry

Values from the calculation:
DFT formation energy   -0.567 eV per atom
M_tot   0.000 Bohr magnetons per cell

```
data_ZrBeRh2
_symmetry_space_group_name_H-M 'P 1'
_symmetry_Int_Tables_number 1
_cell_length_a 5.006
_cell_length_b 5.006
_cell_length_c 5.006
_cell_angle_alpha 136.41
_cell_angle_beta 136.41
_cell_angle_gamma 63.34
loop_
_symmetry_equiv_pos_as_xyz
'x,y,z'
loop_
_atom_site_label
_atom_site_fract_x
_atom_site_fract_y
_atom_site_fract_z
_atom_site_occupancy
Zr1 0.000 0.000 0.000 1
Be1 0.250 0.750 0.500 1
Rh1 0.500 0.500 0.000 1
Rh2 0.750 0.250 0.500 1
```


Q: DFT formation energy of number 1 (ZrBe2Rh)?
A: 0.017 eV per atom


Q: Which of these has the highest DFT formation energy?
A: ZrBe2Rh